No. 1
! PBE NaHfTe2N, optimized geometry; values from VASP
&SYSTEM
  ibrav = 0, nat = 5, ntyp = 4
/
ATOMIC_SPECIES
Te 127.60 Te.upf
Hf 178.49 Hf.upf
Na 22.99 Na.upf
N 14.01 N.upf
ATOMIC_POSITIONS angstrom
Te 2.7237 0.0000 0.0000
Hf 2.7237 2.7237 2.0310
Na 0.0000 0.0000 0.0000
Te 0.0000 2.7237 0.0000
N 0.0000 0.0000 2.0310
CELL_PARAMETERS angstrom
5.4474 0.0000 0.0000
0.0000 5.4474 0.0000
0.0000 0.0000 4.0621
! Fermi-level density of states ... 3.526 states/eV/cell
! Excess energy over the best structure of this formula in the dataset ... 1427.6 meV per atom
! M_tot ... 0.390 μB/atom
! SG ... No. 123
! Raw formation energy ... 522 kJ/mol of formula units

---

No. 2
! PBE AgPb2F, optimized geometry; values from VASP
&SYSTEM
  ibrav = 0, nat = 8, ntyp = 3
/
ATOMIC_SPECIES
Pb 207.20 Pb.upf
F 19.00 F.upf
Ag 107.87 Ag.upf
ATOMIC_POSITIONS angstrom
Pb 1.0423 -2.8640 -3.6099
F -1.2515 -1.9119 -2.9571
Pb -1.1479 -3.9435 -1.3900
Ag -0.8230 -6.6069 -2.4645
Pb 0.3770 -9.2300 -5.7017
Pb 1.8093 -7.3687 -3.3835
Ag 0.0000 0.0000 0.0000
F 1.8634 -5.0962 -4.5781
CELL_PARAMETERS angstrom
-3.9379 -3.4226 -0.8435
1.4349 -0.4011 -5.0707
3.5434 -7.8794 -1.1282
! Fermi-level density of states ... 3.750 states/eV/cell
! Excess energy over the best structure of this formula in the dataset ... 52.8 meV per atom
! M_tot ... 0.000 μB/atom
! SG ... No. 122
! Raw formation energy ... -191 kJ/mol of formula units

---

No. 3
! PBE Sn2Sb2PtAu2, optimized geometry; values from VASP
&SYSTEM
  ibrav = 0, nat = 7, ntyp = 4
/
ATOMIC_SPECIES
Au 196.97 Au.upf
Pt 195.08 Pt.upf
Sb 121.76 Sb.upf
Sn 118.71 Sn.upf
ATOMIC_POSITIONS angstrom
Au -1.1242 -7.0329 -2.3854
Au -0.8174 -4.7941 0.8063
Pt 0.0000 0.0000 0.0000
Sb -0.5619 -7.7226 0.2173
Sn -0.4115 -2.1656 1.7217
Sn -1.5301 -9.6613 -3.3007
Sb -1.3797 -4.1044 -1.7964
CELL_PARAMETERS angstrom
-1.8971 -1.0239 3.7797
-3.4280 -5.2927 -3.1221
3.3835 -5.5104 -2.2367
! Fermi-level density of states ... 2.972 states/eV/cell
! M_tot ... 0.000 μB/atom
! SG ... No. 2
! Raw formation energy ... -165 kJ/mol of formula units

---

No. 4
! PBE ZrSbOs, optimized geometry; values from VASP
&SYSTEM
  ibrav = 0, nat = 3, ntyp = 3
/
ATOMIC_SPECIES
Sb 121.76 Sb.upf
Os 190.23 Os.upf
Zr 91.22 Zr.upf
ATOMIC_POSITIONS angstrom
Sb 3.3862 1.9411 0.0000
Os 9.6222 5.5157 0.0000
Zr 6.3356 3.6318 0.0000
CELL_PARAMETERS angstrom
5.9591 0.8129 -0.2453
3.7129 4.7313 0.2453
-4.7140 -2.9850 2.2583
! Fermi-level density of states ... 2.645 states/eV/cell
! M_tot ... 0.000 μB/atom
! SG ... No. 107
! Raw formation energy ... -24 kJ/mol of formula units

---

No. 5
! PBE TbPr3Tm12, optimized geometry; values from VASP
&SYSTEM
  ibrav = 0, nat = 16, ntyp = 3
/
ATOMIC_SPECIES
Tb 158.93 Tb.upf
Tm 168.93 Tm.upf
Pr 140.91 Pr.upf
ATOMIC_POSITIONS angstrom
Tb 0.0000 0.0000 0.0000
Tm -4.7563 11.2319 12.8524
Tm -5.9312 8.0768 11.7469
Tm -2.8608 0.3422 1.9994
Tm -2.5197 1.0004 5.4645
Tm -7.9758 10.9523 11.4190
Pr -3.3917 7.0354 6.2460
Pr -1.6913 3.5083 3.1147
Tm -1.3472 4.1603 6.5743
Tm -4.5667 3.8808 5.1409
Tm -4.2254 4.5386 8.6057
Pr -5.0920 10.5626 9.3774
Tm -0.8338 -2.4969 2.3597
Tm -6.2699 7.4137 8.2775
Tm 0.3587 0.6217 3.4327
Tm -3.0504 7.6933 9.7108
CELL_PARAMETERS angstrom
-4.0532 -2.7764 0.9263
2.3857 -2.2173 3.7930
-6.7833 14.0709 12.4921
! Fermi-level density of states ... 23.565 states/eV/cell
! M_tot ... 0.000 μB/atom
! SG ... No. 123
! Energy of formation from the pure elements ... 0.03 eV/atom

---

No. 6
! PBE Ca2InAsO6, optimized geometry; values from VASP
&SYSTEM
  ibrav = 0, nat = 10, ntyp = 4
/
ATOMIC_SPECIES
As 74.92 As.upf
Ca 40.08 Ca.upf
In 114.82 In.upf
O 16.00 O.upf
ATOMIC_POSITIONS angstrom
As 2.9430 0.0000 0.0000
Ca 0.0664 0.0000 2.6478
Ca 0.0664 2.6478 0.0000
In 2.7529 2.6478 2.6478
O 3.5198 1.2257 1.2257
O 1.2074 0.0000 0.0000
O 3.5198 4.0699 4.0699
O 3.5198 4.0699 1.2257
O 3.5198 1.2257 4.0699
O 0.7107 2.6478 2.6478
CELL_PARAMETERS angstrom
4.9083 0.0000 0.0000
0.0000 5.2957 0.0000
0.0000 0.0000 5.2957
! M_tot ... 0.000 μB/atom
! SG ... No. 99
! Raw formation energy ... -1940 kJ/mol of formula units

---

- Among the records above, which one has the highest M_tot?
  NaHfTe2N

---

- Among the records above, which one has the highest M_tot?
  NaHfTe2N

---

- The highest M_tot belongs to which entry?
  NaHfTe2N